(1)
First-principles (PBE) data for an optimized crystal structure of NdYNiRu, as listed in Alexandria via LeMat-Bulk.

ΔE to the lowest computed polymorph   0.00 eV/f.u.
Formation energy from the elements   -0.286 eV per atom
Total energy   -54.87 eV for the cell shown

Geometry as CIF:
```
data_NdYNiRu
_chemical_formula_sum 'Nd2 Y2 Ni2 Ru2'
_space_group_name_H-M_alt 'A m m 2'
_space_group_IT_number 38
_cell_length_a 4.053
_cell_length_b 4.061
_cell_length_c 10.678
_cell_angle_alpha 90.00
_cell_angle_beta 90.00
_cell_angle_gamma 90.00
loop_
_space_group_symop_operation_xyz
'x,y,z'
'-x,-y,z'
'-x,y,z'
'x,-y,z'
'x,y+1/2,z+1/2'
'-x,-y+1/2,z+1/2'
'-x,y+1/2,z+1/2'
'x,-y+1/2,z+1/2'
loop_
_atom_site_label
_atom_site_fract_x
_atom_site_fract_y
_atom_site_fract_z
Nd1 0.000 0.000 0.000
Y1 0.500 0.000 0.713
Ni1 0.500 0.000 0.420
Ru1 0.000 0.000 0.284
```

=====

(2)
First-principles (PBE) data for an optimized crystal structure of NdYNiRu, as listed in Alexandria via LeMat-Bulk.

ΔE to the lowest computed polymorph   0.11 eV/f.u.
Formation energy from the elements   -0.258 eV per atom
Total energy   -109.28 eV for the cell shown

Geometry as CIF:
```
data_NdYNiRu
_chemical_formula_sum 'Nd4 Y4 Ni4 Ru4'
_space_group_name_H-M_alt 'F -4 3 m'
_space_group_IT_number 216
_space_group_name_Hall 'F -4 2 3'
_cell_length_a 6.917
_cell_length_b 6.917
_cell_length_c 6.917
_cell_angle_alpha 90.00
_cell_angle_beta 90.00
_cell_angle_gamma 90.00
loop_
_atom_site_label
_atom_site_fract_x
_atom_site_fract_y
_atom_site_fract_z
Nd1 0.000 0.000 0.000
Y1 0.000 0.000 0.500
Ni1 0.250 0.250 0.250
Ru1 0.250 0.250 0.750
```

=====

(3)
First-principles (PBE) data for an optimized crystal structure of NdNiS2, as listed in Alexandria via LeMat-Bulk.

ΔE to the lowest computed polymorph   3.36 eV/f.u.
Uncorrected formation energy   -9.07 kcal/mol of atoms
Total energy   -61.13 eV for the cell shown

Geometry as CIF:
```
data_NdNiS2
_chemical_formula_sum 'Nd3 Ni3 S6'
_space_group_name_H-M_alt 'R -3 m'
_space_group_IT_number 166
_space_group_name_Hall '-R 3 2"'
_cell_length_a 3.5256
_cell_length_b 3.5256
_cell_length_c 23.5996
_cell_angle_alpha 90.00
_cell_angle_beta 90.00
_cell_angle_gamma 120.00
loop_
_atom_site_label
_atom_site_fract_x
_atom_site_fract_y
_atom_site_fract_z
Nd1 0.0000 0.0000 0.0000
Ni1 0.0000 0.0000 0.5000
S1 0.0000 0.0000 0.1177
```

=====

(4)
First-principles (PBE) data for an optimized crystal structure of NdNiS2, as listed in Alexandria via LeMat-Bulk.

ΔE to the lowest computed polymorph   0.00 eV/f.u.
Uncorrected formation energy   -28.45 kcal/mol of atoms
Total energy   -47.48 eV for the cell shown

Geometry as CIF:
```
data_NdNiS2
_chemical_formula_sum 'Nd2 Ni2 S4'
_space_group_name_H-M_alt 'C 1 2 1'
_space_group_IT_number 5
_cell_length_a 5.283
_cell_length_b 5.275
_cell_length_c 5.902
_cell_angle_alpha 90.00
_cell_angle_beta 116.40
_cell_angle_gamma 90.00
loop_
_space_group_symop_operation_xyz
'x,y,z'
'-x,y,-z'
'x+1/2,y+1/2,z'
'-x+1/2,y+1/2,-z'
loop_
_atom_site_label
_atom_site_fract_x
_atom_site_fract_y
_atom_site_fract_z
Nd1 0.000 0.000 0.000
Ni1 0.000 0.750 0.500
S1 0.140 0.500 0.279
```

=====

Short version: DOS(E_F) = 6.86 12.87 9.78 5.44 states/eV/cell, in the order given.